1.
An optimized crystal structure of TiRe2TcBr, computed with PBE.

Properties
Electronic total energy: -7.098 eV per atom
Size of the total moment: 0.00 Bohr magnetons per cell

Lattice parameters (Å, degrees): 4.514 4.514 4.473 90.00 90.00 90.00
Space group P4/mmm (No. 123)
Asymmetric unit:
Ti 0.000 0.000 0.000
Re 0.000 0.500 0.500
Tc 0.500 0.500 0.000
Br 0.000 0.000 0.500

2.
An optimized crystal structure of Re2TeBr, computed with PBE.

Properties
Electronic total energy: -5.946 eV per atom
Size of the total moment: 0.66 Bohr magnetons per cell

Lattice parameters (Å, degrees): 3.014 4.517 5.494 90.00 90.00 90.00
Space group Pmmm (No. 47)
Asymmetric unit:
Re 0.000 0.000 0.000
Re 0.500 0.000 0.500
Te 0.000 0.500 0.500
Br 0.500 0.500 0.000

3.
An optimized crystal structure of Re4TeBr, computed with PBE.

Properties
Electronic total energy: -7.750 eV per atom
Size of the total moment: 0.00 Bohr magnetons per cell

Lattice parameters (Å, degrees): 7.598 7.598 7.598 90.00 90.00 90.00
Space group F-43m (No. 216)
Asymmetric unit:
Re 0.125 0.125 0.125
Te 0.250 0.250 0.750
Br 0.000 0.000 0.500

4.
An optimized crystal structure of Re2TeBr, computed with PBE.

Properties
Electronic total energy: -6.322 eV per atom
Size of the total moment: 0.00 Bohr magnetons per cell

Lattice parameters (Å, degrees): 8.524 3.120 5.482 90.00 102.67 90.00
Space group C2/m (No. 12)
Asymmetric unit:
Re 0.248 0.000 0.277
Te 0.000 0.500 0.000
Br 0.000 0.000 0.500

no.,DOS(E_F) (states/eV per cell)
1,5.88
2,5.42
3,23.06
4,5.87